1.
DFT (PBE) results for crystalline TaNi2GeTe at its relaxed geometry.

The space group is P4/mmm (No. 123) and the conventional cell measures 4.4718, 4.4718 and 5.3499 Å, with angles of 90.00, 90.00 and 90.00 degrees. Symmetry generates all atoms from Ta at (0.0000, 0.0000, 0.0000), Ni at (0.0000, 0.5000, 0.5000), Ge at (0.5000, 0.5000, 0.0000) and Te at (0.5000, 0.5000, 0.5000).

The density of states at the Fermi level comes out at 0.84 states/eV/atom. For the total magnetization, the calculation gives 0.86 μB per cell. The uncorrected formation energy comes out at 1325.0 meV/atom.

2.
DFT (PBE) results for crystalline TbTm2ZrAs4 at its relaxed geometry.

The space group is P2/m (No. 10) and the conventional cell measures 6.9654, 4.0210 and 6.9708 Å, with angles of 90.00, 109.29 and 90.00 degrees. Symmetry generates all atoms from Tb at (0.0000, 0.0000, 0.0000), Tm at (0.5000, 0.0000, 0.5000), Tm at (0.5000, 0.5000, 0.0000), Zr at (0.0000, 0.5000, 0.5000), As at (0.2446, 0.0000, 0.7413) and As at (0.2495, 0.5000, 0.2572).

The density of states at the Fermi level comes out at 0.18 states/eV/atom. For the total magnetization, the calculation gives 0.00 μB per cell. The calculation puts the formation enthalpy at 0 K at -11.30 eV/f.u.

3.
DFT (PBE) results for crystalline Dy5Er2Sc4 at its relaxed geometry.

The space group is P2/m (No. 10) and the conventional cell measures 8.6777, 3.4932 and 10.7243 Å, with angles of 90.00, 94.59 and 90.00 degrees. Symmetry generates all atoms from Dy at (0.0000, 0.0000, 0.0000), Dy at (0.0478, 0.0000, 0.3338), Dy at (0.3531, 0.0000, 0.8670), Er at (0.4249, 0.0000, 0.3639), Sc at (0.2539, 0.5000, 0.5743) and Sc at (0.2986, 0.5000, 0.1300).

The density of states at the Fermi level comes out at 1.47 states/eV/atom. For the total magnetization, the calculation gives 0.00 μB per cell. For the energy above the most stable polymorph in this dataset, the calculation gives 0.0000 eV/atom. The calculation puts the formation enthalpy at 0 K at 1.14 eV/f.u.

4.
DFT (PBE) results for crystalline PaSnIr at its relaxed geometry.

The space group is F-43m (No. 216) and the conventional cell measures 6.6203, 6.6203 and 6.6203 Å, with angles of 90.00, 90.00 and 90.00 degrees. Symmetry generates all atoms from Pa at (0.0000, 0.0000, 0.0000), Sn at (0.0000, 0.0000, 0.5000) and Ir at (0.2500, 0.2500, 0.2500).

The density of states at the Fermi level comes out at 0.80 states/eV/atom. For the total magnetization, the calculation gives 0.00 μB per cell. The calculation puts the formation enthalpy at 0 K at -1.97 eV/f.u.

5.
DFT (PBE) results for crystalline SmSnAuS at its relaxed geometry.

The space group is R-3m (No. 166, hexagonal axes) and the conventional cell measures 4.5926, 4.5926 and 34.2480 Å, with angles of 90.00, 90.00 and 120.00 degrees. Symmetry generates all atoms from Sm at (0.0000, 0.0000, 0.1138), Sn at (0.0000, 0.0000, 0.2993), Au at (0.0000, 0.0000, 0.3855) and S at (0.0000, 0.0000, 0.1970).

The density of states at the Fermi level comes out at 0.36 states/eV/atom. For the total magnetization, the calculation gives 0.00 μB per cell. The uncorrected formation energy comes out at -1033.9 meV/atom.

6.
DFT (PBE) results for crystalline Zr2TcPtF at its relaxed geometry.

The space group is P4/mmm (No. 123) and the conventional cell measures 5.1521, 5.1521 and 4.7617 Å, with angles of 90.00, 90.00 and 90.00 degrees. Symmetry generates all atoms from Zr at (0.0000, 0.5000, 0.0000), Tc at (0.0000, 0.0000, 0.5000), Pt at (0.0000, 0.0000, 0.0000) and F at (0.5000, 0.5000, 0.5000).

The density of states at the Fermi level comes out at 0.96 states/eV/atom. For the total magnetization, the calculation gives 0.21 μB per cell. The uncorrected formation energy comes out at 513.7 meV/atom.

7.
DFT (PBE) results for crystalline TlBr3O at its relaxed geometry.

The space group is Pm-3m (No. 221) and the conventional cell measures 4.9535, 4.9535 and 4.9535 Å, with angles of 90.00, 90.00 and 90.00 degrees. Symmetry generates all atoms from Tl at (0.0000, 0.0000, 0.0000), Br at (0.0000, 0.5000, 0.5000) and O at (0.5000, 0.5000, 0.5000).

The density of states at the Fermi level comes out at 0.44 states/eV/atom. For the total magnetization, the calculation gives 0.00 μB per cell. For the energy above the most stable polymorph in this dataset, the calculation gives 0.2209 eV/atom. The uncorrected formation energy comes out at 78.3 meV/atom.

8.
DFT (PBE) results for crystalline Mg3BeBr at its relaxed geometry.

The space group is Pm-3m (No. 221) and the conventional cell measures 4.9321, 4.9321 and 4.9321 Å, with angles of 90.00, 90.00 and 90.00 degrees. Symmetry generates all atoms from Mg at (0.0000, 0.0000, 0.5000), Be at (0.0000, 0.0000, 0.0000) and Br at (0.5000, 0.5000, 0.5000).

The density of states at the Fermi level comes out at 1.10 states/eV/atom. For the total magnetization, the calculation gives 0.00 μB per cell. For the energy above the most stable polymorph in this dataset, the calculation gives 0.0000 eV/atom. The uncorrected formation energy comes out at 19.8 meV/atom.

9.
DFT (PBE) results for crystalline Tl2AgSbCl6 at its relaxed geometry.

The space group is P-1 (No. 2) and the conventional cell measures 7.4333, 7.4536 and 7.4585 Å, with angles of 118.90, 119.42 and 90.73 degrees. Symmetry generates all atoms from Tl at (0.2379, 0.2708, 0.0068), Ag at (0.5000, 0.0000, 0.5000), Sb at (0.0000, 0.5000, 0.5000), Cl at (0.2075, 0.7073, 0.9936), Cl at (0.2198, 0.8330, 0.5600) and Cl at (0.3082, 0.3157, 0.5086).

The density of states at the Fermi level comes out at 0.00 states/eV/atom. For the total magnetization, the calculation gives 0.00 μB per cell. The uncorrected formation energy comes out at -854.9 meV/atom.

10.
DFT (PBE) results for crystalline KYHfAl2 at its relaxed geometry.

The space group is P4/mmm (No. 123) and the conventional cell measures 5.3742, 5.3742 and 5.2981 Å, with angles of 90.00, 90.00 and 90.00 degrees. Symmetry generates all atoms from K at (0.0000, 0.0000, 0.0000), Y at (0.0000, 0.0000, 0.5000), Hf at (0.5000, 0.5000, 0.0000) and Al at (0.0000, 0.5000, 0.5000).

The density of states at the Fermi level comes out at 0.70 states/eV/atom. For the total magnetization, the calculation gives 1.43 μB per cell. The calculation puts the formation enthalpy at 0 K at 7.25 eV/f.u.

11.
DFT (PBE) results for crystalline InFeCu2 at its relaxed geometry.

The space group is P4/mmm (No. 123) and the conventional cell measures 3.8134, 3.8134 and 3.9100 Å, with angles of 90.00, 90.00 and 90.00 degrees. Symmetry generates all atoms from In at (0.0000, 0.0000, 0.0000), Fe at (0.5000, 0.5000, 0.0000) and Cu at (0.0000, 0.5000, 0.5000).

The density of states at the Fermi level comes out at 0.75 states/eV/atom. For the total magnetization, the calculation gives 2.09 μB per cell. The calculation puts the formation enthalpy at 0 K at 0.67 eV/f.u.

12.
DFT (PBE) results for crystalline Y2BiO at its relaxed geometry.

The space group is P2_1/c (No. 14) and the conventional cell measures 7.7037, 6.7652 and 7.7280 Å, with angles of 90.00, 101.22 and 90.00 degrees. Symmetry generates all atoms from Y at (0.0638, 0.1127, 0.3076), Y at (0.3108, 0.6715, 0.5318), Bi at (0.3329, 0.1302, 0.6698) and O at (0.1762, 0.6867, 0.7710).

The density of states at the Fermi level comes out at 0.58 states/eV/atom. For the total magnetization, the calculation gives 0.00 μB per cell. For the energy above the most stable polymorph in this dataset, the calculation gives 0.0000 eV/atom. The uncorrected formation energy comes out at -1803.6 meV/atom.

Please write out number 6 again, unchanged.
DFT (PBE) results for crystalline Zr2TcPtF at its relaxed geometry.

The space group is P4/mmm (No. 123) and the conventional cell measures 5.1521, 5.1521 and 4.7617 Å, with angles of 90.00, 90.00 and 90.00 degrees. Symmetry generates all atoms from Zr at (0.0000, 0.5000, 0.0000), Tc at (0.0000, 0.0000, 0.5000), Pt at (0.0000, 0.0000, 0.0000) and F at (0.5000, 0.5000, 0.5000).

The density of states at the Fermi level comes out at 0.96 states/eV/atom. For the total magnetization, the calculation gives 0.21 μB per cell. The uncorrected formation energy comes out at 513.7 meV/atom.

Please write out number 8 again, unchanged.
DFT (PBE) results for crystalline Mg3BeBr at its relaxed geometry.

The space group is Pm-3m (No. 221) and the conventional cell measures 4.9321, 4.9321 and 4.9321 Å, with angles of 90.00, 90.00 and 90.00 degrees. Symmetry generates all atoms from Mg at (0.0000, 0.0000, 0.5000), Be at (0.0000, 0.0000, 0.0000) and Br at (0.5000, 0.5000, 0.5000).

The density of states at the Fermi level comes out at 1.10 states/eV/atom. For the total magnetization, the calculation gives 0.00 μB per cell. For the energy above the most stable polymorph in this dataset, the calculation gives 0.0000 eV/atom. The uncorrected formation energy comes out at 19.8 meV/atom.